Compound: CaDy3Y6Er2
Source: Alexandria
Functional: PBE
Structure: optimized geometry

Summary:
- Formation energy: 58 meV/atom
- Theoretical density: 5977 kg/m3
- E: -5.252 eV/atom
- V: 32.31 Å³ per atom
- Magnetic moment: 0.00 μB/cell

```
CaDy3Y6Er2
1.0
3.099 -5.365 0.000
3.099 5.365 0.000
-2.064 0.000 11.660
Ca Dy Y Er
1 3 6 2
Direct
0.000 0.000 0.000 Ca
0.166 0.834 0.500 Dy
0.500 0.500 0.500 Dy
0.834 0.166 0.500 Dy
0.085 0.424 0.253 Y
0.254 0.254 0.747 Y
0.424 0.085 0.253 Y
0.576 0.915 0.747 Y
0.746 0.746 0.253 Y
0.915 0.576 0.747 Y
0.333 0.667 0.000 Er
0.667 0.333 0.000 Er
```